Crystalline MgTa2SeF at its relaxed geometry, computed with PBEsol.

- Energy relative to the elements, uncorrected: 827.7 kJ/mol of formula units
- V: 21.6 Å³ per atom
- Theoretical density: 7.45 g cm⁻³
- Magnetization: 0.73 μB/f.u.

Lattice parameters (Å, degrees): 4.8359 4.8359 4.6174 90.00 90.00 90.00
Last column: nearest neighbours and their distance in Å.
Element x y z (fractional)
Mg 0.0000 0.0000 0.0000  2 Se 2.31, 4 Ta 2.42
Ta 0.0000 0.5000 0.0000  2 Mg 2.42
Ta 0.5000 0.0000 0.0000  2 Mg 2.42
Se 0.0000 0.0000 0.5000  2 Mg 2.31
F 0.5000 0.5000 0.5000  8 Ta 3.34, 4 Se 3.42